Version one
Sr2SiGe2 | PBE | optimized geometry

Magnetization in μB per formula unit: 0.000
Symmetry: P4/mbm

a = 7.324 Å, b = 7.324 Å, c = 4.781 Å
α = 90.00°, β = 90.00°, γ = 90.00°
Fractional positions:
Sr  0.177  0.677  0.500
Sr  0.677  0.823  0.500
Sr  0.823  0.323  0.500
Sr  0.323  0.177  0.500
Ge  0.375  0.875  0.000
Ge  0.875  0.625  0.000
Ge  0.625  0.125  0.000
Ge  0.125  0.375  0.000
Si  0.000  0.000  0.000
Si  0.500  0.500  0.000



Version two
Sr2SiGe2 | PBE | optimized geometry

Magnetization in μB per formula unit: 0.000
Symmetry: C2/m

a = 4.700 Å, b = 6.278 Å, c = 10.163 Å
α = 77.17°, β = 76.63°, γ = 68.02°
Fractional positions:
Sr  0.713  0.222  0.352
Sr  0.896  0.298  0.909
Sr  0.287  0.778  0.648
Sr  0.104  0.702  0.091
Si  0.550  0.213  0.687
Si  0.450  0.787  0.313
Ge  0.042  0.326  0.590
Ge  0.611  0.896  0.882
Ge  0.958  0.674  0.410
Ge  0.389  0.104  0.118



Which is most stable, and by how much? version two, by 117 meV per atom.



Version one
Sr2SiGe | PBE | optimized geometry

Magnetization in μB per formula unit: 0.000
Symmetry: Fm-3m

a = 5.420 Å, b = 5.420 Å, c = 5.420 Å
α = 60.00°, β = 60.00°, γ = 60.00°
Fractional positions:
Sr  0.250  0.250  0.250
Sr  0.750  0.750  0.750
Ge  0.500  0.500  0.500
Si  0.000  0.000  0.000



Version two
Sr2SiGe | PBE | optimized geometry

Magnetization in μB per formula unit: 0.000
Symmetry: I-42d

a = 8.491 Å, b = 8.491 Å, c = 6.889 Å
α = 51.96°, β = 51.96°, γ = 90.00°
Fractional positions:
Sr  0.622  0.125  0.250
Sr  0.128  0.625  0.250
Sr  0.375  0.378  0.750
Sr  0.875  0.872  0.750
Ge  0.000  0.000  0.000
Ge  0.750  0.250  0.500
Si  0.500  0.500  0.000
Si  0.250  0.750  0.500



Which is most stable, and by how much? version one, by 343 meV per atom.